No. 1
The following is a DFT calculation (PBE-GGA) of crystalline Th6Sb2TeOs3 at its relaxed geometry.

Properties
Its density of states at the Fermi level is 7.62 states/eV/cell. As for the crystal system: monoclinic. For the volume, the calculation gives 346.2 Å³/cell. Its electronic total energy is -8.126 eV per atom. The symmetry is C2/m.

abc: 4.235 8.902 9.846
angles: 106.83 102.42 90.00
Atoms (fractional coordinates):
Th: 0.342 0.395 0.685
Th: 0.323 0.942 0.646
Th: 0.010 0.723 0.020
Th: 0.658 0.605 0.315
Th: 0.677 0.058 0.354
Th: 0.990 0.277 0.980
Sb: 0.835 0.671 0.669
Sb: 0.165 0.329 0.331
Os: 0.834 0.167 0.668
Os: 0.500 0.500 0.000
Os: 0.166 0.833 0.332
Te: 0.500 0.000 0.000

No. 2
The following is a DFT calculation (PBE-GGA) of crystalline BaNa4Sr2 at its relaxed geometry.

Properties
The calculated formation energy is 0.498 eV per formula unit. Its density of states at the Fermi level is 5.45 states/eV/cell. As for the crystal system: trigonal. For the volume, the calculation gives 330.9 Å³/cell. Its electronic total energy is -1.438 eV per atom. The symmetry is R-3m.

abc: 6.449 6.449 9.914
angles: 71.02 71.02 60.00
Atoms (fractional coordinates):
Na: 0.859 0.859 0.422
Na: 0.570 0.570 0.289
Na: 0.430 0.430 0.711
Na: 0.141 0.141 0.578
Sr: 0.281 0.281 0.157
Sr: 0.719 0.719 0.843
Ba: 0.000 0.000 0.000

No. 3
The following is a DFT calculation (PBE-GGA) of crystalline CdSn5Br12 at its relaxed geometry.

Properties
Its density of states at the Fermi level is 0.00 states/eV/cell. As for the crystal system: monoclinic. For the volume, the calculation gives 685.9 Å³/cell. Its electronic total energy is -3.048 eV per atom. The symmetry is C2/m.

abc: 7.513 7.513 14.046
angles: 89.99 89.99 120.11
Atoms (fractional coordinates):
Sn: 0.500 0.500 0.500
Sn: 0.333 0.667 0.000
Sn: 0.833 0.167 0.500
Sn: 0.667 0.333 0.000
Sn: 0.167 0.833 0.500
Br: 0.687 0.000 0.113
Br: 0.313 0.313 0.113
Br: 0.167 0.500 0.379
Br: 0.166 0.166 0.620
Br: 0.833 0.500 0.621
Br: 0.834 0.834 0.380
Br: 0.500 0.167 0.379
Br: 0.687 0.687 0.887
Br: 0.500 0.833 0.621
Br: 0.000 0.313 0.887
Br: 0.000 0.687 0.113
Br: 0.313 0.000 0.887
Cd: 0.000 0.000 0.000

No. 4
The following is a DFT calculation (PBE-GGA) of crystalline Y2HoEr7 at its relaxed geometry.

Properties
The calculated formation energy is 1.218 eV per formula unit. Its density of states at the Fermi level is 16.05 states/eV/cell. As for the crystal system: monoclinic. For the volume, the calculation gives 311.6 Å³/cell. Its electronic total energy is -4.823 eV per atom. The symmetry is C2/m.

abc: 3.477 15.049 15.049
angles: 156.68 89.91 89.91
Atoms (fractional coordinates):
Y: 0.500 0.792 0.208
Y: 0.500 0.208 0.792
Er: 0.500 0.500 0.500
Er: 0.000 0.310 0.690
Er: 0.269 0.854 0.655
Er: 0.269 0.655 0.854
Er: 0.731 0.146 0.345
Er: 0.000 0.690 0.310
Er: 0.731 0.345 0.146
Ho: 0.000 0.000 0.000